(1)
Computed, not measured: a geometry-optimized ZrSeSN2 structure at the PBE level of DFT.

V ... 68.1 Å³/cell
E_form (uncorrected) ... 930 meV per atom

Cell lengths 3.8075, 3.8075, 4.6975 Å; angles 90.00, 90.00, 90.00 degrees
Fractional positions:
S 0.0000 0.0000 0.0000
Zr 0.5000 0.5000 0.5000
Se 0.0000 0.0000 0.5000
N 0.0000 0.5000 0.0000
N 0.5000 0.0000 0.0000

(2)
Computed, not measured: a geometry-optimized Zr4Al11Si structure at the PBE level of DFT.

V ... 276.1 Å³/cell
E_form (uncorrected) ... -469 meV per atom

Cell lengths 3.9828, 4.0215, 17.2411 Å; angles 90.00, 90.00, 90.00 degrees
Fractional positions:
Al 0.5000 0.0000 0.2496
Zr 0.5000 0.5000 0.6204
Zr 0.0000 0.0000 0.8857
Al 0.0000 0.0000 0.6246
Al 0.5000 0.0000 0.7504
Al 0.0000 0.5000 0.2491
Al 0.5000 0.5000 0.8719
Al 0.0000 0.5000 0.0000
Si 0.5000 0.0000 0.0000
Zr 0.5000 0.5000 0.3796
Al 0.5000 0.0000 0.5000
Al 0.0000 0.5000 0.5000
Al 0.0000 0.5000 0.7509
Al 0.0000 0.0000 0.3754
Al 0.5000 0.5000 0.1281
Zr 0.0000 0.0000 0.1143

(3)
Computed, not measured: a geometry-optimized ZrIrAu4 structure at the PBE level of DFT.

V ... 110.9 Å³/cell
ΔH_f (0 K) ... 53 meV per atom

Cell lengths 5.3922, 5.3922, 5.3922 Å; angles 60.00, 60.00, 60.00 degrees
Fractional positions:
Ir 0.7500 0.7500 0.7500
Au 0.3752 0.8745 0.3752
Au 0.3752 0.3752 0.3752
Au 0.3752 0.3752 0.8745
Zr 0.0000 0.0000 0.0000
Au 0.8745 0.3752 0.3752

Magnetization values (in μB per formula unit) by entry order: 0.00 0.00 0.00.